Entry 1:
Density functional theory data (GGA+U) for Li2CoHgF8 after structural relaxation.

Output
The crystal system is triclinic.

Unit cell a=4.666 b=4.653 c=6.876 alpha=89.94 beta=89.94 gamma=88.58
Sites, in units of the cell vectors:
1 Li 0.500 0.500 0.745
2 Li 0.500 0.500 0.255
3 F 0.194 0.802 0.810
4 F 0.806 0.198 0.190
5 F 0.270 0.266 0.000
6 F 0.682 0.684 0.500
7 F 0.318 0.316 0.500
8 F 0.194 0.802 0.190
9 F 0.806 0.198 0.810
10 F 0.730 0.734 0.000
11 Co 0.000 0.000 0.000
12 Hg 0.000 0.000 0.500

Entry 2:
Density functional theory data (GGA+U) for Mn2CoHgF after structural relaxation.

Output
The crystal system is tetragonal.

Unit cell a=4.785 b=4.963 c=4.785 alpha=90.00 beta=90.00 gamma=90.00
Sites, in units of the cell vectors:
1 Hg 0.000 0.500 0.000
2 Mn 0.500 0.000 0.000
3 Mn 0.000 0.000 0.500
4 Co 0.000 0.000 0.000
5 F 0.500 0.500 0.500

Entry 3:
Density functional theory data (GGA+U) for CoHgNF2 after structural relaxation.

Output
Its excess energy over the best structure of this formula in the dataset is 0.00 eV per formula unit. The crystal system is tetragonal.

Unit cell a=4.015 b=4.015 c=3.898 alpha=90.00 beta=90.00 gamma=90.00
Sites, in units of the cell vectors:
1 N 0.000 0.000 0.500
2 Hg 0.500 0.500 0.500
3 F 0.500 0.000 0.000
4 F 0.000 0.500 0.000
5 Co 0.000 0.000 0.000

Entry 4:
Density functional theory data (GGA+U) for CoHgNF2 after structural relaxation.

Output
Its excess energy over the best structure of this formula in the dataset is 4.09 eV per formula unit. The crystal system is tetragonal.

Unit cell a=4.594 b=4.594 c=4.119 alpha=90.00 beta=90.00 gamma=90.00
Sites, in units of the cell vectors:
1 N 0.000 0.000 0.500
2 Co 0.500 0.500 0.500
3 F 0.000 0.500 0.000
4 F 0.500 0.000 0.000
5 Hg 0.000 0.000 0.000

Number 1: E -4.01 eV/atom. Number 2: E -4.00 eV/atom. Number 3: E -3.84 eV/atom. Number 4: E -3.03 eV/atom.